Material: Ac2La5TbTm
Method: DFT, PBE
State: optimized geometry Values from VASP.

Summary:
formation enthalpy at 0 K	10	kJ per mole of atoms
symmetry	Cmcm (63)

The structure in Quantum ESPRESSO input format:
```
&SYSTEM
  ibrav = 0, nat = 18, ntyp = 4
/
ATOMIC_SPECIES
Ac 227.00 Ac.upf
La 138.91 La.upf
Tb 158.93 Tb.upf
Tm 168.93 Tm.upf
CELL_PARAMETERS angstrom
5.6718 0.0000 0.0000
-2.8359 11.3132 0.0000
0.0000 0.0000 10.6215
ATOMIC_POSITIONS crystal
Ac 0.8846 0.7691 0.7735
Ac 0.1154 0.2308 0.7430
Ac 0.1154 0.2309 0.2735
Ac 0.8846 0.7692 0.2430
La 0.3756 0.7512 0.0082
La 0.7226 0.4452 0.8192
La 0.5000 0.0000 0.7582
La 0.2773 0.5547 0.6973
La 0.9940 0.9880 0.5082
La 0.6244 0.2488 0.5082
La 0.2774 0.5548 0.3192
La 0.5000 0.0000 0.2582
La 0.7227 0.4453 0.1973
La 0.0060 0.0120 0.0082
Tb 0.7881 0.5762 0.5082
Tb 0.2119 0.4238 0.0082
Tm 0.6032 0.2064 0.0082
Tm 0.3968 0.7936 0.5082
```